First-principles (GGA-PBE) data for CuNi14Pt after structural relaxation, as listed in Alexandria via LeMat-Bulk.

The structure belongs to space group Amm2 (No. 38); the cell edges are 8.2288, 5.0373 and 8.7446 Å and the angles 90.00°, 90.00° and 90.00°. The distinct sites, in fractional coordinates, are Cu at (0.0000, 0.0000, 0.0000), Ni at (0.0000, 0.2492, 0.7503), Ni at (0.2529, 0.0000, 0.1674), Ni at (0.2548, 0.0000, 0.6687), Ni at (0.2565, 0.2482, 0.9153), Ni at (0.5000, 0.0000, 0.3324), Ni at (0.5000, 0.0000, 0.8329), Ni at (0.5000, 0.2497, 0.0833) and Pt at (0.0000, 0.0000, 0.5003).

The density of states at the Fermi level is 26.31 states/eV/f.u. As for the energy: -181.9 eV per cell.